# 1
# Dy2Er5Hg

Dy2Er5Hg after structural relaxation (PBE-GGA, OQMD via LeMat-Bulk).

CIF file:
```
data_Dy2Er5Hg
_space_group_name_H-M_alt 'A m m 2'
_space_group_IT_number 38
_cell_length_a 5.5224
_cell_length_b 7.0044
_cell_length_c 12.1405
_cell_angle_alpha 90.00
_cell_angle_beta 90.00
_cell_angle_gamma 90.00
loop_
_space_group_symop_operation_xyz
'x,y,z'
'-x,-y,z'
'-x,y,z'
'x,-y,z'
'x,y+1/2,z+1/2'
'-x,-y+1/2,z+1/2'
'-x,y+1/2,z+1/2'
'x,-y+1/2,z+1/2'
loop_
_atom_site_label
_atom_site_type_symbol
_atom_site_fract_x
_atom_site_fract_y
_atom_site_fract_z
Dy1 Dy 0.0000 0.0000 0.0000
Dy2 Dy 0.5000 0.0000 0.3401
Er1 Er 0.0000 0.0000 0.5031
Er2 Er 0.0000 0.2467 0.7537
Er3 Er 0.5000 0.2435 0.5843
Hg1 Hg 0.5000 0.0000 0.8350
```

## Properties
DFT formation energy (eV per atom): -0.04
Spin magnetization (μB/f.u.): 0.9
Total DFT energy (no corrections) (eV/atom): -4.08
Calculated density (g cm⁻³): 9.63


# 2
# CoCuB2

CoCuB2 after structural relaxation (PBE-GGA, OQMD via LeMat-Bulk).

CIF file:
```
data_CoCuB2
_space_group_name_H-M_alt 'F -4 3 m'
_space_group_IT_number 216
_space_group_name_Hall 'F -4 2 3'
_cell_length_a 5.1610
_cell_length_b 5.1610
_cell_length_c 5.1610
_cell_angle_alpha 90.00
_cell_angle_beta 90.00
_cell_angle_gamma 90.00
loop_
_atom_site_label
_atom_site_type_symbol
_atom_site_fract_x
_atom_site_fract_y
_atom_site_fract_z
Co1 Co 0.0000 0.0000 0.0000
Cu1 Cu 0.2500 0.2500 0.7500
B1 B 0.0000 0.0000 0.5000
B2 B 0.2500 0.2500 0.2500
```

## Properties
Spin magnetization (μB/f.u.): 0.0
Total DFT energy (no corrections) (eV/atom): -5.20
Calculated density (g cm⁻³): 6.96


# 3
# Nd3MgAgHg3Au

Nd3MgAgHg3Au after structural relaxation (PBE-GGA, OQMD via LeMat-Bulk).

CIF file:
```
data_Nd3MgAgHg3Au
_space_group_name_H-M_alt 'P -6'
_space_group_IT_number 174
_cell_length_a 8.1231
_cell_length_b 8.1231
_cell_length_c 3.9840
_cell_angle_alpha 90.00
_cell_angle_beta 90.00
_cell_angle_gamma 120.00
loop_
_space_group_symop_operation_xyz
'x,y,z'
'-x+y,-x,-z'
'-y,x-y,z'
'x,y,-z'
'-x+y,-x,z'
'-y,x-y,-z'
loop_
_atom_site_label
_atom_site_type_symbol
_atom_site_fract_x
_atom_site_fract_y
_atom_site_fract_z
Nd1 Nd 0.0728 0.3574 0.0000
Mg1 Mg 0.0000 0.0000 0.5000
Ag1 Ag 0.6667 0.3333 0.0000
Hg1 Hg 0.3831 0.3090 0.5000
Au1 Au 0.3333 0.6667 0.5000
```

## Properties
Spin magnetization (μB/f.u.): 0.1
Total DFT energy (no corrections) (eV/atom): -2.97
Calculated density (g cm⁻³): 9.95


Q: Which of these has the lowest calculated density?
A: CoCuB2


Q: What is the formula in the first record?
A: Dy2Er5Hg


Repeat the first record exactly.
# Dy2Er5Hg

Dy2Er5Hg after structural relaxation (PBE-GGA, OQMD via LeMat-Bulk).

CIF file:
```
data_Dy2Er5Hg
_space_group_name_H-M_alt 'A m m 2'
_space_group_IT_number 38
_cell_length_a 5.5224
_cell_length_b 7.0044
_cell_length_c 12.1405
_cell_angle_alpha 90.00
_cell_angle_beta 90.00
_cell_angle_gamma 90.00
loop_
_space_group_symop_operation_xyz
'x,y,z'
'-x,-y,z'
'-x,y,z'
'x,-y,z'
'x,y+1/2,z+1/2'
'-x,-y+1/2,z+1/2'
'-x,y+1/2,z+1/2'
'x,-y+1/2,z+1/2'
loop_
_atom_site_label
_atom_site_type_symbol
_atom_site_fract_x
_atom_site_fract_y
_atom_site_fract_z
Dy1 Dy 0.0000 0.0000 0.0000
Dy2 Dy 0.5000 0.0000 0.3401
Er1 Er 0.0000 0.0000 0.5031
Er2 Er 0.0000 0.2467 0.7537
Er3 Er 0.5000 0.2435 0.5843
Hg1 Hg 0.5000 0.0000 0.8350
```

## Properties
DFT formation energy (eV per atom): -0.04
Spin magnetization (μB/f.u.): 0.9
Total DFT energy (no corrections) (eV/atom): -4.08
Calculated density (g cm⁻³): 9.63